(1)
# GaBiBr3

An optimized crystal structure of GaBiBr3 (PBE-GGA, the Alexandria database).

Properties
Formation energy from raw total energies, eV per atom: -0.3218
Magnetization, μB/f.u.: 0.0
DOS(E_F), states/eV per cell: 3.1
Polymorph energy (0 for the lowest one), meV per atom: 0

a b c (Å): 5.879 5.879 5.879
angles (deg): 90.00 90.00 90.00
Element x y z (fractional)
Ga1 0.000 0.000 0.000
Bi1 0.500 0.500 0.500
Br1 0.000 0.500 0.500
Br2 0.500 0.000 0.500
Br3 0.500 0.500 0.000

***

(2)
# GaBiBr2

An optimized crystal structure of GaBiBr2 (PBE-GGA, the Alexandria database).

Properties
Formation energy from raw total energies, eV per atom: -0.0491
Magnetization, μB/f.u.: 0.0
DOS(E_F), states/eV per cell: 3.4
Polymorph energy (0 for the lowest one), meV per atom: 117

a b c (Å): 5.407 5.407 5.407
angles (deg): 60.00 60.00 60.00
Element x y z (fractional)
Ga1 0.000 0.000 0.000
Bi1 0.500 0.500 0.500
Br1 0.250 0.250 0.250
Br2 0.750 0.750 0.750

***

(3)
# GaBiBr2

An optimized crystal structure of GaBiBr2 (PBE-GGA, the Alexandria database).

Properties
Formation energy from raw total energies, eV per atom: -0.1656
Magnetization, μB/f.u.: 0.0
DOS(E_F), states/eV per cell: 4.4
Polymorph energy (0 for the lowest one), meV per atom: 0

a b c (Å): 6.922 6.922 6.922
angles (deg): 104.69 104.69 119.53
Element x y z (fractional)
Ga1 0.000 0.000 0.000
Ga2 0.750 0.250 0.500
Bi1 0.250 0.750 0.500
Bi2 0.500 0.500 0.000
Br1 0.140 0.625 0.015
Br2 0.375 0.390 0.515
Br3 0.610 0.125 0.985
Br4 0.875 0.860 0.485

***

(4)
# Ga12Bi3Br5

An optimized crystal structure of Ga12Bi3Br5 (PBE-GGA, the Alexandria database).

Properties
Formation energy from raw total energies, eV per atom: -0.0023
Magnetization, μB/f.u.: 0.0
DOS(E_F), states/eV per cell: 19.9

a b c (Å): 15.251 15.251 15.251
angles (deg): 109.47 109.47 109.47
Element x y z (fractional)
Ga1 0.066 0.227 0.151
Ga2 0.066 0.339 0.915
Ga3 0.076 0.727 0.661
Ga4 0.076 0.849 0.415
Ga5 0.085 0.651 0.424
Ga6 0.085 0.934 0.661
Ga7 0.151 0.066 0.227
Ga8 0.151 0.585 0.924
Ga9 0.161 0.227 0.576
Ga10 0.161 0.434 0.585
Ga11 0.227 0.151 0.066
Ga12 0.227 0.576 0.161
Ga13 0.273 0.339 0.924
Ga14 0.273 0.434 0.349
Ga15 0.339 0.915 0.066
Ga16 0.339 0.924 0.273
Ga17 0.349 0.273 0.434
Ga18 0.349 0.576 0.915
Ga19 0.415 0.076 0.849
Ga20 0.415 0.839 0.566
Ga21 0.424 0.085 0.651
Ga22 0.424 0.839 0.773
Ga23 0.434 0.349 0.273
Ga24 0.434 0.585 0.161
Ga25 0.566 0.415 0.839
Ga26 0.566 0.651 0.727
Ga27 0.576 0.161 0.227
Ga28 0.576 0.915 0.349
Ga29 0.585 0.161 0.434
Ga30 0.585 0.924 0.151
Ga31 0.651 0.424 0.085
Ga32 0.651 0.727 0.566
Ga33 0.661 0.076 0.727
Ga34 0.661 0.085 0.934
Ga35 0.727 0.566 0.651
Ga36 0.727 0.661 0.076
Ga37 0.773 0.424 0.839
Ga38 0.773 0.849 0.934
Ga39 0.839 0.566 0.415
Ga40 0.839 0.773 0.424
Ga41 0.849 0.415 0.076
Ga42 0.849 0.934 0.773
Ga43 0.915 0.066 0.339
Ga44 0.915 0.349 0.576
Ga45 0.924 0.151 0.585
Ga46 0.924 0.273 0.339
Ga47 0.934 0.661 0.085
Ga48 0.934 0.773 0.849
Bi1 0.125 0.250 0.375
Bi2 0.125 0.375 0.750
Bi3 0.250 0.375 0.125
Bi4 0.250 0.875 0.625
Bi5 0.375 0.125 0.250
Bi6 0.375 0.750 0.125
Bi7 0.625 0.250 0.875
Bi8 0.625 0.875 0.750
Bi9 0.750 0.125 0.375
Bi10 0.750 0.625 0.875
Bi11 0.875 0.625 0.250
Bi12 0.875 0.750 0.625
Br1 0.000 0.000 0.000
Br2 0.000 0.000 0.500
Br3 0.000 0.500 0.000
Br4 0.000 0.500 0.500
Br5 0.125 0.750 0.875
Br6 0.125 0.875 0.250
Br7 0.250 0.125 0.875
Br8 0.250 0.625 0.375
Br9 0.375 0.250 0.625
Br10 0.375 0.625 0.750
Br11 0.500 0.000 0.000
Br12 0.500 0.000 0.500
Br13 0.500 0.500 0.000
Br14 0.500 0.500 0.500
Br15 0.625 0.375 0.250
Br16 0.625 0.750 0.375
Br17 0.750 0.375 0.625
Br18 0.750 0.875 0.125
Br19 0.875 0.125 0.750
Br20 0.875 0.250 0.125

***

(5)
# GaBiBr3

An optimized crystal structure of GaBiBr3 (PBE-GGA, the Alexandria database).

Properties
Formation energy from raw total energies, eV per atom: -0.1062
Magnetization, μB/f.u.: 0.0
DOS(E_F), states/eV per cell: 4.1
Polymorph energy (0 for the lowest one), meV per atom: 216

a b c (Å): 5.298 5.298 5.298
angles (deg): 90.00 90.00 90.00
Element x y z (fractional)
Ga1 0.000 0.000 0.000
Bi1 0.500 0.500 0.500
Br1 0.000 0.000 0.500
Br2 0.000 0.500 0.000
Br3 0.500 0.000 0.000

***

(6)
# Ga2Bi4Br3

An optimized crystal structure of Ga2Bi4Br3 (PBE-GGA, the Alexandria database).

Properties
Formation energy from raw total energies, eV per atom: -0.2087
Magnetization, μB/f.u.: 0.0
DOS(E_F), states/eV per cell: 2.4

a b c (Å): 9.667 9.667 6.852
angles (deg): 102.44 102.44 80.12
Element x y z (fractional)
Ga1 0.094 0.330 0.151
Ga2 0.330 0.094 0.651
Ga3 0.670 0.906 0.349
Ga4 0.906 0.670 0.849
Bi1 0.084 0.290 0.547
Bi2 0.146 0.619 0.153
Bi3 0.290 0.084 0.047
Bi4 0.381 0.854 0.347
Bi5 0.619 0.146 0.653
Bi6 0.710 0.916 0.953
Bi7 0.854 0.381 0.847
Bi8 0.916 0.710 0.453
Br1 0.059 0.941 0.750
Br2 0.276 0.489 0.770
Br3 0.489 0.276 0.270
Br4 0.511 0.724 0.730
Br5 0.724 0.511 0.230
Br6 0.941 0.059 0.250